No. 1
Below is CeSmCdSb after structural relaxation, with properties calculated at the GGA-PBE level.

a = 7.6430 Å, b = 7.6430 Å, c = 7.6430 Å
α = 90.00°, β = 90.00°, γ = 90.00°
Closest atoms and distances in Å follow each position.
Space group F-43m (No. 216)
One atom of each set of equivalent atoms:
Ce  0.0000  0.0000  0.0000  4 Cd 3.31, 4 Sb 3.31
Sm  0.0000  0.0000  0.5000  4 Cd 3.31, 4 Sb 3.31
Cd  0.2500  0.2500  0.7500  4 Ce 3.31, 4 Sm 3.31
Sb  0.2500  0.2500  0.2500  4 Ce 3.31, 4 Sm 3.31

## Properties
Fermi-level density of states, states/eV/cell: 37.08
Formation energy (no corrections), meV per atom: -522
Raw total energy, eV/atom: -4.444



No. 2
Below is SmHoNi10 after structural relaxation, with properties calculated at the GGA-PBE level.

a = 3.9587 Å, b = 4.9016 Å, c = 8.4796 Å
α = 90.00°, β = 90.00°, γ = 90.00°
Closest atoms and distances in Å follow each position.
Space group Pmmm (No. 47)
One atom of each set of equivalent atoms:
Sm  0.0000  0.0000  0.0000  18 Ni 2.84-3.17
Ho  0.0000  0.5000  0.5000  14 Ni 2.80-3.13
Ni  0.0000  0.0000  0.3362  6 Ni 2.42-2.44
Ni  0.0000  0.5000  0.1697  6 Ni 2.43-2.45
Ni  0.5000  0.0000  0.5000  8 Ni 2.42-2.43
Ni  0.5000  0.2515  0.2527  8 Ni 2.43-2.47
Ni  0.5000  0.5000  0.0000  8 Ni 2.45-2.46

## Properties
Fermi-level density of states, states/eV/cell: 13.81
Energy of formation, eV/atom: -0.315
Raw total energy, eV/atom: -5.908



No. 3
Below is CoP2OsRh after structural relaxation, with properties calculated at the GGA-PBE level.

a = 4.4364 Å, b = 4.4364 Å, c = 4.6728 Å
α = 90.00°, β = 90.00°, γ = 90.00°
Closest atoms and distances in Å follow each position.
Space group P4/mmm (No. 123)
One atom of each set of equivalent atoms:
Co  0.0000  0.0000  0.0000  2 Os 2.34
P  0.0000  0.5000  0.5000  2 Os 2.22
Os  0.0000  0.0000  0.5000  4 P 2.22, 2 Co 2.34
Rh  0.5000  0.5000  0.0000  4 Co 3.14, 8 P 3.22

## Properties
Fermi-level density of states, states/eV/cell: 6.46
Energy of formation, eV/atom: 1.045
Raw total energy, eV/atom: -6.257